Record 1
The following is a DFT calculation (PBE) of a geometry-optimized NaLiZrCu2 structure.

Unit cell a=4.727 b=4.727 c=3.911 alpha=90.00 beta=90.00 gamma=90.00
Atoms (fractional coordinates):
Na (0.000, 0.000, 0.000)
Li (0.000, 0.000, 0.500)
Zr (0.500, 0.500, 0.500)
Cu (0.000, 0.500, 0.000)
Cu (0.500, 0.000, 0.000)

Values from the calculation:
Formation energy from the elements: 0.775 eV/atom
Crystal system: tetragonal
Calculated density: 4.72 Mg/m³
VASP energy: -16.10 eV/f.u.

=====

Record 2
The following is a DFT calculation (PBE) of a geometry-optimized Ca3Ag4Au4 structure.

Unit cell a=7.136 b=7.136 c=7.136 alpha=109.47 beta=109.47 gamma=109.47
Atoms (fractional coordinates):
Ca (0.000, 0.500, 0.500)
Ca (0.500, 0.000, 0.500)
Ca (0.500, 0.500, 0.000)
Ag (0.000, 0.000, 0.757)
Ag (0.000, 0.757, 0.000)
Ag (0.243, 0.243, 0.243)
Ag (0.757, 0.000, 0.000)
Au (0.000, 0.000, 0.395)
Au (0.000, 0.395, 0.000)
Au (0.395, 0.000, 0.000)
Au (0.605, 0.605, 0.605)

Values from the calculation:
Formation energy from the elements: -0.239 eV/atom
Crystal system: cubic
Calculated density: 7.95 Mg/m³
VASP energy: -33.15 eV/f.u.

=====

Record 3
The following is a DFT calculation (PBE) of a geometry-optimized AcErTm2 structure.

Unit cell a=4.090 b=4.090 c=8.152 alpha=90.00 beta=90.00 gamma=90.00
Atoms (fractional coordinates):
Ac (0.000, 0.000, 0.000)
Er (0.000, 0.000, 0.500)
Tm (0.500, 0.500, 0.278)
Tm (0.500, 0.500, 0.722)

Values from the calculation:
Formation energy from the elements: 0.101 eV/atom
Crystal system: tetragonal
Calculated density: 8.92 Mg/m³
VASP energy: -17.21 eV/f.u.

=====

Record 4
The following is a DFT calculation (PBE) of a geometry-optimized ZnCoSnHg2 structure.

Unit cell a=5.728 b=5.728 c=4.952 alpha=90.00 beta=90.00 gamma=90.00
Atoms (fractional coordinates):
Zn (0.000, 0.000, 0.000)
Co (0.500, 0.500, 0.000)
Sn (0.500, 0.500, 0.500)
Hg (0.000, 0.500, 0.500)
Hg (0.500, 0.000, 0.500)

Values from the calculation:
Formation energy from the elements: 0.745 eV/atom
Crystal system: tetragonal
Calculated density: 6.58 Mg/m³
VASP energy: -9.26 eV/f.u.

=====

Record 5
The following is a DFT calculation (PBE) of a geometry-optimized Sn2HW structure.

Unit cell a=6.447 b=6.447 c=6.407 alpha=90.00 beta=90.00 gamma=90.00
Atoms (fractional coordinates):
Sn (0.166, 0.250, 0.125)
Sn (0.250, 0.666, 0.375)
Sn (0.250, 0.834, 0.875)
Sn (0.334, 0.250, 0.625)
Sn (0.666, 0.750, 0.625)
Sn (0.750, 0.166, 0.875)
Sn (0.750, 0.334, 0.375)
Sn (0.834, 0.750, 0.125)
H (0.000, 0.000, 0.000)
H (0.000, 0.500, 0.250)
H (0.500, 0.000, 0.750)
H (0.500, 0.500, 0.500)
W (0.000, 0.000, 0.500)
W (0.000, 0.500, 0.750)
W (0.500, 0.000, 0.250)
W (0.500, 0.500, 0.000)

Values from the calculation:
Crystal system: tetragonal
Calculated density: 10.53 Mg/m³
VASP energy: -21.39 eV/f.u.

=====

Record 6
The following is a DFT calculation (PBE) of a geometry-optimized Ce2Nd3YS6 structure.

Unit cell a=6.980 b=6.980 c=6.986 alpha=99.62 beta=99.62 gamma=120.05
Atoms (fractional coordinates):
Ce (0.166, 0.834, 0.000)
Ce (0.834, 0.166, 0.000)
Nd (0.000, 0.000, 0.500)
Nd (0.333, 0.667, 0.500)
Nd (0.667, 0.333, 0.500)
Y (0.500, 0.500, 0.000)
S (0.091, 0.419, 0.757)
S (0.253, 0.253, 0.244)
S (0.419, 0.091, 0.757)
S (0.581, 0.909, 0.243)
S (0.747, 0.747, 0.756)
S (0.909, 0.581, 0.243)

Values from the calculation:
Crystal system: monoclinic
Calculated density: 5.95 Mg/m³
E_form (uncorrected): -2.032 eV per atom
VASP energy: -81.78 eV/f.u.

=====

- calculated density of number 1 (NaLiZrCu2)?
  4.72 Mg/m³

=====

- Which value of VASP energy does entry 1 give?
  -16.10 eV/f.u.